VASP calculation (PBE) on a relaxed structure of Ca4AsPH.

Cell and atoms, written as POSCAR:
```
Ca4AsPH
1.0
-2.231 2.231 7.882
2.231 -2.231 7.882
2.231 2.231 -7.882
Ca As P H
4 1 1 1
Direct
0.000 0.000 0.000
0.176 0.676 0.500
0.362 0.362 0.000
0.676 0.176 0.500
0.812 0.812 0.000
0.547 0.547 0.000
0.153 0.153 0.000
```

- magnetization (μB per formula unit) = 0.000
- crystal system = tetragonal
- raw total energy (eV/atom) = -3.9648